NiAu, optimized geometry, DFT PBE; mass density = 13.51 Mg/m³; M_tot = 0.52 μB per formula unit; total DFT energy (no corrections) = -4.244 eV per atom; volume = 126 Å³ per cell; N(E_F) = 3.71 states/eV/f.u.; ΔE_f = 55 kJ/mol of formula units
1.0
0.000 3.884 6.853
2.361 0.000 6.853
2.361 3.884 0.000
Ni Au
4 4
Cartesian
0.590 0.971 0.564
0.590 0.971 2.863
4.132 6.798 10.844
4.132 6.798 13.142
1.771 1.593 5.140
2.952 3.535 8.566
1.771 4.234 5.140
2.952 6.176 8.566

=====

Ni2Au, optimized geometry, DFT PBE; mass density = 13.26 Mg/m³; M_tot = 0.00 μB per formula unit; total DFT energy (no corrections) = -4.848 eV per atom; volume = 79 Å³ per cell; N(E_F) = 1.79 states/eV/f.u.; ΔE_f = 29 kJ/mol of formula units
1.0
0.000 3.402 3.402
3.402 0.000 3.402
3.402 3.402 0.000
Ni Au
4 2
Cartesian
0.000 0.000 0.000
1.701 1.701 0.000
1.701 0.000 1.701
0.000 1.701 1.701
2.551 2.551 2.551
4.252 4.252 4.252

=====

Number 2 is which compound? Ni2Au